! La2PmYO | the Alexandria database | PBE | optimized geometry; values from VASP
&SYSTEM
  ibrav = 0, nat = 5, ntyp = 4
/
ATOMIC_SPECIES
Pm 145.00 Pm.upf
La 138.91 La.upf
Y 88.91 Y.upf
O 16.00 O.upf
CELL_PARAMETERS angstrom
-3.287 1.851 2.861
-3.357 -3.945 -1.305
1.874 -2.935 4.051
ATOMIC_POSITIONS crystal
Pm 0.500 0.500 0.500
La 0.000 0.500 0.000
La 0.000 0.000 0.500
Y 0.500 0.000 0.000
O 0.000 0.000 0.000
! * crystal system: tetragonal
! * uncorrected formation energy: -1130 meV/atom
! * DOS(E_F): 1.04 states/eV per atom

! TcRh2Cl | the Alexandria database | PBE | optimized geometry; values from VASP
&SYSTEM
  ibrav = 0, nat = 4, ntyp = 3
/
ATOMIC_SPECIES
Cl 35.45 Cl.upf
Rh 102.91 Rh.upf
Tc 98.00 Tc.upf
CELL_PARAMETERS angstrom
-2.528 -0.474 1.103
1.824 -3.144 2.830
0.764 3.297 3.169
ATOMIC_POSITIONS crystal
Cl 0.000 0.500 0.500
Rh 0.000 0.000 0.000
Rh 0.500 0.500 0.000
Tc 0.500 0.000 0.500
! * polymorph energy (0 for the lowest one): 478.6 meV/atom
! * crystal system: orthorhombic
! * uncorrected formation energy: 651 meV/atom
! * DOS(E_F): 1.43 states/eV per atom

! Mn2MoPtC | the Alexandria database | PBE | optimized geometry; values from VASP
&SYSTEM
  ibrav = 0, nat = 5, ntyp = 4
/
ATOMIC_SPECIES
Mn 54.94 Mn.upf
Pt 195.08 Pt.upf
C 12.01 C.upf
Mo 95.94 Mo.upf
CELL_PARAMETERS angstrom
3.926 0.000 0.000
0.000 3.926 0.000
0.000 0.000 4.113
ATOMIC_POSITIONS crystal
Mn 0.000 0.500 0.000
Mn 0.500 0.000 0.000
Pt 0.500 0.500 0.500
C 0.000 0.000 0.000
Mo 0.000 0.000 0.500
! * polymorph energy (0 for the lowest one): 0.0 meV/atom
! * crystal system: tetragonal
! * E_form: -0.2 eV per formula unit
! * DOS(E_F): 0.95 states/eV per atom

! Li3Ga5Ag2 | the Alexandria database | PBE | optimized geometry; values from VASP
&SYSTEM
  ibrav = 0, nat = 20, ntyp = 3
/
ATOMIC_SPECIES
Ga 69.72 Ga.upf
Ag 107.87 Ag.upf
Li 6.94 Li.upf
CELL_PARAMETERS angstrom
2.824 8.409 -1.262
3.699 -2.266 -6.848
-7.655 -2.005 1.328
ATOMIC_POSITIONS crystal
Ga 0.000 0.250 0.501
Ga 0.880 0.488 0.760
Ga 0.500 0.250 0.501
Ga 0.000 0.750 0.499
Ga 0.120 0.512 0.240
Ga 0.620 0.728 0.240
Ga 0.500 0.750 0.499
Ga 0.250 0.500 0.000
Ga 0.380 0.272 0.760
Ga 0.750 0.500 0.000
Ag 0.373 0.947 0.745
Ag 0.127 0.201 0.255
Ag 0.627 0.053 0.255
Ag 0.873 0.799 0.745
Li 0.750 0.000 0.000
Li 0.627 0.385 0.253
Li 0.373 0.615 0.747
Li 0.250 0.000 0.000
Li 0.127 0.869 0.253
Li 0.873 0.131 0.747
! * polymorph energy (0 for the lowest one): 8.8 meV/atom
! * crystal system: orthorhombic
! * E_form: -1.1 eV per formula unit
! * DOS(E_F): 0.31 states/eV per atom

! Pm2Tc3 | the Alexandria database | PBE | optimized geometry; values from VASP
&SYSTEM
  ibrav = 0, nat = 10, ntyp = 2
/
ATOMIC_SPECIES
Tc 98.00 Tc.upf
Pm 145.00 Pm.upf
CELL_PARAMETERS angstrom
-2.569 5.068 -1.521
-1.419 1.464 -5.518
-6.943 -3.241 0.926
ATOMIC_POSITIONS crystal
Tc 0.823 0.323 0.250
Tc 0.677 0.177 0.750
Tc 0.000 0.000 0.000
Tc 0.500 0.500 0.500
Tc 0.323 0.823 0.250
Tc 0.177 0.677 0.750
Pm 0.333 0.333 0.096
Pm 0.833 0.833 0.404
Pm 0.667 0.667 0.904
Pm 0.167 0.167 0.596
! * crystal system: orthorhombic
! * E_form: 0.2 eV per formula unit
! * DOS(E_F): 0.99 states/eV per atom

! AgPbI2N | the Alexandria database | PBE | optimized geometry; values from VASP
&SYSTEM
  ibrav = 0, nat = 5, ntyp = 4
/
ATOMIC_SPECIES
I 126.90 I.upf
Pb 207.20 Pb.upf
Ag 107.87 Ag.upf
N 14.01 N.upf
CELL_PARAMETERS angstrom
-0.361 -5.383 -2.643
4.088 1.717 -4.054
3.006 -1.399 2.438
ATOMIC_POSITIONS crystal
I 0.500 0.000 0.000
I 0.000 0.500 0.000
Pb 0.500 0.500 0.500
Ag 0.000 0.000 0.000
N 0.000 0.000 0.500
! * polymorph energy (0 for the lowest one): 0.0 meV/atom
! * crystal system: tetragonal
! * uncorrected formation energy: 653 meV/atom
! * DOS(E_F): 0.50 states/eV per atom

! CeZn10Au2 | the Alexandria database | PBE | optimized geometry; values from VASP
&SYSTEM
  ibrav = 0, nat = 13, ntyp = 3
/
ATOMIC_SPECIES
Zn 65.41 Zn.upf
Ce 140.12 Ce.upf
Au 196.97 Au.upf
CELL_PARAMETERS angstrom
5.020 0.000 2.047
2.510 6.360 1.023
0.096 0.000 6.945
ATOMIC_POSITIONS crystal
Zn 0.996 0.649 0.360
Zn 0.356 0.649 0.640
Zn 0.004 0.351 0.640
Zn 0.644 0.351 0.360
Zn 0.500 0.000 0.500
Zn 0.506 0.211 0.778
Zn 0.283 0.211 0.222
Zn 0.717 0.789 0.778
Zn 0.000 0.000 0.500
Zn 0.494 0.789 0.222
Ce 0.000 0.000 0.000
Au 0.000 0.500 0.000
Au 0.500 0.500 0.000
! * crystal system: orthorhombic
! * E_form: -2.4 eV per formula unit
! * DOS(E_F): 0.79 states/eV per atom

! Pa2Ga2Ni3 | the Alexandria database | PBE | optimized geometry; values from VASP
&SYSTEM
  ibrav = 0, nat = 14, ntyp = 3
/
ATOMIC_SPECIES
Pa 231.04 Pa.upf
Ni 58.69 Ni.upf
Ga 69.72 Ga.upf
CELL_PARAMETERS angstrom
0.841 0.221 -3.724
1.040 -6.826 -0.170
-9.134 -1.387 -0.182
ATOMIC_POSITIONS crystal
Pa 0.145 0.250 0.290
Pa 0.855 0.750 0.710
Pa 0.941 0.250 0.882
Pa 0.059 0.750 0.118
Ni 0.234 0.750 0.468
Ni 0.438 0.557 0.876
Ni 0.562 0.443 0.124
Ni 0.766 0.250 0.532
Ni 0.438 0.943 0.876
Ni 0.562 0.057 0.124
Ga 0.308 0.060 0.617
Ga 0.692 0.560 0.383
Ga 0.308 0.440 0.617
Ga 0.692 0.940 0.383
! * polymorph energy (0 for the lowest one): 0.0 meV/atom
! * crystal system: orthorhombic
! * E_form: -3.1 eV per formula unit
! * DOS(E_F): 0.92 states/eV per atom

! Zr2CoBr | the Alexandria database | PBE | optimized geometry; values from VASP
&SYSTEM
  ibrav = 0, nat = 4, ntyp = 3
/
ATOMIC_SPECIES
Zr 91.22 Zr.upf
Br 79.90 Br.upf
Co 58.93 Co.upf
CELL_PARAMETERS angstrom
-1.302 -3.225 6.538
0.486 -5.831 4.538
2.426 -3.134 6.255
ATOMIC_POSITIONS crystal
Zr 0.476 0.476 0.476
Zr 0.024 0.024 0.024
Br 0.250 0.250 0.250
Co 0.750 0.750 0.750
! * polymorph energy (0 for the lowest one): 0.0 meV/atom
! * crystal system: trigonal
! * uncorrected formation energy: -463 meV/atom
! * DOS(E_F): 0.73 states/eV per atom

! AcNdTh2P4 | the Alexandria database | PBE | optimized geometry; values from VASP
&SYSTEM
  ibrav = 0, nat = 8, ntyp = 4
/
ATOMIC_SPECIES
P 30.97 P.upf
Th 232.04 Th.upf
Ac 227.00 Ac.upf
Nd 144.24 Nd.upf
CELL_PARAMETERS angstrom
4.219 0.000 0.000
0.000 7.323 -0.148
0.000 2.574 6.840
ATOMIC_POSITIONS crystal
P 0.500 0.239 0.748
P 0.000 0.235 0.261
P 0.000 0.765 0.739
P 0.500 0.761 0.252
Th 0.000 0.000 0.000
Th 0.500 0.000 0.500
Ac 0.500 0.500 0.000
Nd 0.000 0.500 0.500
! * crystal system: monoclinic
! * E_form: -12.2 eV per formula unit
! * DOS(E_F): 0.50 states/eV per atom

! PmHfTl2 | the Alexandria database | PBE | optimized geometry; values from VASP
&SYSTEM
  ibrav = 0, nat = 4, ntyp = 3
/
ATOMIC_SPECIES
Pm 145.00 Pm.upf
Tl 204.38 Tl.upf
Hf 178.49 Hf.upf
CELL_PARAMETERS angstrom
3.380 0.000 0.000
0.000 3.380 0.000
0.000 0.000 8.849
ATOMIC_POSITIONS crystal
Pm 0.500 0.500 0.500
Tl 0.000 0.000 0.234
Tl 0.000 0.000 0.766
Hf 0.500 0.500 0.000
! * crystal system: tetragonal
! * E_form: -0.3 eV per formula unit
! * DOS(E_F): 0.95 states/eV per atom

! NpAs2 | the Alexandria database | PBE | optimized geometry; values from VASP
&SYSTEM
  ibrav = 0, nat = 6, ntyp = 2
/
ATOMIC_SPECIES
As 74.92 As.upf
Np 237.00 Np.upf
CELL_PARAMETERS angstrom
3.881 0.000 -0.960
-0.237 3.874 -0.960
0.015 0.016 8.390
ATOMIC_POSITIONS crystal
As 0.000 0.500 0.000
As 0.679 0.679 0.358
As 0.321 0.321 0.642
As 0.500 0.000 0.000
Np 0.862 0.862 0.723
Np 0.138 0.138 0.277
! * crystal system: tetragonal
! * E_form: -1.6 eV per formula unit
! * DOS(E_F): 2.76 states/eV per atom

! Y2Ho3Tl | the Alexandria database | PBE | optimized geometry; values from VASP
&SYSTEM
  ibrav = 0, nat = 6, ntyp = 3
/
ATOMIC_SPECIES
Y 88.91 Y.upf
Ho 164.93 Ho.upf
Tl 204.38 Tl.upf
CELL_PARAMETERS angstrom
-2.231 1.579 -4.042
-4.310 -0.674 2.115
2.352 7.406 1.595
ATOMIC_POSITIONS crystal
Y 0.000 0.339 0.677
Y 0.000 0.661 0.323
Ho 0.500 0.500 0.000
Ho 0.500 0.169 0.338
Ho 0.500 0.831 0.662
Tl 0.000 0.000 0.000
! * polymorph energy (0 for the lowest one): 0.0 meV/atom
! * crystal system: orthorhombic
! * E_form: -0.7 eV per formula unit
! * DOS(E_F): 1.10 states/eV per atom

! NiPdSe | the Alexandria database | PBE | optimized geometry; values from VASP
&SYSTEM
  ibrav = 0, nat = 3, ntyp = 3
/
ATOMIC_SPECIES
Se 78.96 Se.upf
Ni 58.69 Ni.upf
Pd 106.42 Pd.upf
CELL_PARAMETERS angstrom
-0.794 2.124 2.269
1.964 -1.472 2.065
2.701 2.267 -3.444
ATOMIC_POSITIONS crystal
Se 0.701 0.701 0.402
Ni 0.307 0.307 0.614
Pd 0.992 0.992 0.984
! * crystal system: tetragonal
! * uncorrected formation energy: -71 meV/atom
! * DOS(E_F): 0.57 states/eV per atom

! AgTeBr3 | the Alexandria database | PBE | optimized geometry; values from VASP
&SYSTEM
  ibrav = 0, nat = 10, ntyp = 3
/
ATOMIC_SPECIES
Br 79.90 Br.upf
Te 127.60 Te.upf
Ag 107.87 Ag.upf
CELL_PARAMETERS angstrom
3.913 0.136 1.511
-1.626 9.018 -2.539
2.893 -2.102 10.245
ATOMIC_POSITIONS crystal
Br 0.903 0.355 0.881
Br 0.142 0.799 0.540
Br 0.797 0.446 0.318
Br 0.248 0.708 0.104
Br 0.084 0.013 0.982
Br 0.956 0.141 0.440
Te 0.728 0.716 0.788
Te 0.318 0.438 0.634
Ag 0.438 0.229 0.152
Ag 0.605 0.925 0.270
! * polymorph energy (0 for the lowest one): 0.0 meV/atom
! * crystal system: triclinic
! * uncorrected formation energy: -257 meV/atom

! Pm2MgPaP4 | the Alexandria database | PBE | optimized geometry; values from VASP
&SYSTEM
  ibrav = 0, nat = 8, ntyp = 4
/
ATOMIC_SPECIES
P 30.97 P.upf
Pm 145.00 Pm.upf
Mg 24.30 Mg.upf
Pa 231.04 Pa.upf
CELL_PARAMETERS angstrom
-3.315 -0.069 2.335
3.774 -2.254 5.291
-0.138 7.017 0.012
ATOMIC_POSITIONS crystal
P 0.000 0.252 0.769
P 0.500 0.757 0.763
P 0.000 0.748 0.231
P 0.500 0.243 0.237
Pm 0.500 0.000 0.500
Pm 0.000 0.500 0.500
Mg 0.500 0.500 0.000
Pa 0.000 0.000 0.000
! * crystal system: monoclinic
! * E_form: -9.7 eV per formula unit
! * DOS(E_F): 0.38 states/eV per atom

! PPtSe2 | the Alexandria database | PBE | optimized geometry; values from VASP
&SYSTEM
  ibrav = 0, nat = 4, ntyp = 3
/
ATOMIC_SPECIES
Se 78.96 Se.upf
P 30.97 P.upf
Pt 195.08 Pt.upf
CELL_PARAMETERS angstrom
0.003 -4.215 -1.692
-0.587 -0.047 4.503
-3.417 2.321 -1.887
ATOMIC_POSITIONS crystal
Se 0.000 0.500 0.500
Se 0.500 0.000 0.500
P 0.000 0.000 0.000
Pt 0.500 0.500 0.000
! * crystal system: tetragonal
! * uncorrected formation energy: 8 meV/atom
! * DOS(E_F): 0.35 states/eV per atom

! Ba2YPaS6 | the Alexandria database | PBE | optimized geometry; values from VASP
&SYSTEM
  ibrav = 0, nat = 20, ntyp = 4
/
ATOMIC_SPECIES
S 32.06 S.upf
Ba 137.33 Ba.upf
Pa 231.04 Pa.upf
Y 88.91 Y.upf
CELL_PARAMETERS angstrom
7.241 0.000 -0.026
0.000 7.508 0.000
0.027 0.000 10.390
ATOMIC_POSITIONS crystal
S 0.208 0.201 0.044
S 0.708 0.299 0.544
S 0.792 0.799 0.956
S 0.301 0.709 0.046
S 0.801 0.791 0.546
S 0.199 0.209 0.454
S 0.292 0.701 0.456
S 0.415 0.979 0.754
S 0.699 0.291 0.954
S 0.085 0.479 0.746
S 0.585 0.021 0.246
S 0.915 0.521 0.254
Ba 0.517 0.561 0.749
Ba 0.483 0.439 0.251
Ba 0.017 0.939 0.249
Ba 0.983 0.061 0.751
Pa 0.000 0.500 0.500
Pa 0.500 0.000 0.000
Y 0.000 0.500 0.000
Y 0.500 0.000 0.500
! * crystal system: monoclinic
! * uncorrected formation energy: -1994 meV/atom
! * DOS(E_F): 0.00 states/eV per atom

! AcCuF4 | the Alexandria database | PBE | optimized geometry; values from VASP
&SYSTEM
  ibrav = 0, nat = 12, ntyp = 3
/
ATOMIC_SPECIES
Cu 63.55 Cu.upf
F 19.00 F.upf
Ac 227.00 Ac.upf
CELL_PARAMETERS angstrom
-1.735 -4.151 -2.737
-0.602 -3.318 5.046
-4.576 5.725 -0.531
ATOMIC_POSITIONS crystal
Cu 0.190 0.940 0.880
Cu 0.810 0.060 0.120
F 0.237 0.369 0.402
F 0.665 0.033 0.402
F 0.080 0.253 0.906
F 0.763 0.631 0.598
F 0.674 0.347 0.094
F 0.335 0.967 0.598
F 0.920 0.747 0.094
F 0.326 0.653 0.906
Ac 0.388 0.638 0.277
Ac 0.612 0.362 0.723
! * polymorph energy (0 for the lowest one): 0.0 meV/atom
! * crystal system: monoclinic
! * uncorrected formation energy: -3075 meV/atom
! * DOS(E_F): 0.00 states/eV per atom

! Tl2RhCl6 | the Alexandria database | PBE | optimized geometry; values from VASP
&SYSTEM
  ibrav = 0, nat = 18, ntyp = 3
/
ATOMIC_SPECIES
Cl 35.45 Cl.upf
Tl 204.38 Tl.upf
Rh 102.91 Rh.upf
CELL_PARAMETERS angstrom
-3.744 -5.447 1.047
5.505 -3.804 -0.101
1.241 1.475 12.118
ATOMIC_POSITIONS crystal
Cl 0.326 0.326 0.362
Cl 0.826 0.174 0.862
Cl 0.174 0.826 0.138
Cl 0.674 0.674 0.638
Cl 0.749 0.251 0.500
Cl 0.751 0.751 0.000
Cl 0.174 0.826 0.862
Cl 0.826 0.174 0.138
Cl 0.249 0.249 0.000
Cl 0.251 0.749 0.500
Cl 0.674 0.674 0.362
Cl 0.326 0.326 0.638
Tl 0.500 0.500 0.159
Tl 0.000 0.000 0.341
Tl 0.500 0.500 0.841
Tl 0.000 0.000 0.659
Rh 0.000 0.000 0.000
Rh 0.500 0.500 0.500
! * crystal system: tetragonal
! * uncorrected formation energy: -709 meV/atom
! * DOS(E_F): 0.87 states/eV per atom

! Ac4GeSbN | the Alexandria database | PBE | optimized geometry; values from VASP
&SYSTEM
  ibrav = 0, nat = 14, ntyp = 4
/
ATOMIC_SPECIES
Sb 121.76 Sb.upf
Ge 72.64 Ge.upf
Ac 227.00 Ac.upf
N 14.01 N.upf
CELL_PARAMETERS angstrom
7.165 0.000 0.000
0.000 7.132 0.000
-3.583 0.000 8.898
ATOMIC_POSITIONS crystal
Sb 0.388 0.250 0.777
Sb 0.612 0.750 0.223
Ge 0.883 0.750 0.766
Ge 0.117 0.250 0.234
Ac 0.065 0.750 0.130
Ac 0.935 0.250 0.870
Ac 0.000 0.000 0.500
Ac 0.500 0.000 0.500
Ac 0.500 0.500 0.500
Ac 0.581 0.250 0.162
Ac 0.419 0.750 0.838
Ac 0.000 0.500 0.500
N 0.720 0.250 0.441
N 0.280 0.750 0.559
! * crystal system: orthorhombic
! * uncorrected formation energy: -823 meV/atom
! * DOS(E_F): 0.83 states/eV per atom

! EuLuAgPt | the Alexandria database | PBE | optimized geometry; values from VASP
&SYSTEM
  ibrav = 0, nat = 4, ntyp = 4
/
ATOMIC_SPECIES
Pt 195.08 Pt.upf
Eu 151.96 Eu.upf
Lu 174.97 Lu.upf
Ag 107.87 Ag.upf
CELL_PARAMETERS angstrom
-3.103 -2.014 -3.440
-0.365 -5.019 -0.442
-4.212 -2.366 1.475
ATOMIC_POSITIONS crystal
Pt 0.750 0.750 0.750
Eu 0.000 0.000 0.000
Lu 0.500 0.500 0.500
Ag 0.250 0.250 0.250
! * crystal system: cubic
! * E_form: -2.7 eV per formula unit
! * DOS(E_F): 1.83 states/eV per atom

! K2LiCl | the Alexandria database | PBE | optimized geometry; values from VASP
&SYSTEM
  ibrav = 0, nat = 4, ntyp = 3
/
ATOMIC_SPECIES
Li 6.94 Li.upf
K 39.10 K.upf
Cl 35.45 Cl.upf
CELL_PARAMETERS angstrom
-1.927 3.344 3.003
0.507 -5.561 6.518
4.008 -2.478 5.332
ATOMIC_POSITIONS crystal
Li 0.500 0.500 0.500
K 0.500 0.500 0.000
K 0.000 0.000 0.000
Cl 0.000 0.000 0.500
! * polymorph energy (0 for the lowest one): 160.9 meV/atom
! * crystal system: monoclinic
! * uncorrected formation energy: -657 meV/atom
! * DOS(E_F): 0.35 states/eV per atom

! NaScSi | the Alexandria database | PBE | optimized geometry; values from VASP
&SYSTEM
  ibrav = 0, nat = 6, ntyp = 3
/
ATOMIC_SPECIES
Sc 44.96 Sc.upf
Na 22.99 Na.upf
Si 28.09 Si.upf
CELL_PARAMETERS angstrom
-2.500 -2.880 -1.068
2.974 -2.614 0.086
-1.555 -1.516 7.729
ATOMIC_POSITIONS crystal
Sc 0.500 0.000 0.370
Sc 0.000 0.500 0.630
Na 0.000 0.000 0.000
Na 0.500 0.500 0.000
Si 0.500 0.000 0.709
Si 0.000 0.500 0.291
! * crystal system: tetragonal
! * uncorrected formation energy: -234 meV/atom
! * DOS(E_F): 0.68 states/eV per atom